# GGA-PBE Hg2TeMo, optimized geometry
# Spin magnetization = 3.63 μB/f.u.
# Symmetry = No. 139
# Calculated density = 9.83 g cm⁻³
# Raw formation energy = 0.63 eV/atom
data_Hg2TeMo
_space_group_name_H-M_alt 'P 1'
_space_group_IT_number 1
_cell_length_a 6.9859
_cell_length_b 6.9859
_cell_length_c 6.9859
_cell_angle_alpha 146.12
_cell_angle_beta 146.12
_cell_angle_gamma 48.67
loop_
_space_group_symop_operation_xyz
'x,y,z'
loop_
_atom_site_label
_atom_site_fract_x
_atom_site_fract_y
_atom_site_fract_z
Hg1 0.0000 0.0000 0.0000
Hg2 0.5000 0.5000 0.0000
Mo1 0.2500 0.7500 0.5000
Te1 0.7500 0.2500 0.5000



# GGA-PBE SrAc2Ho, optimized geometry
# DFT formation energy = 1.8 kcal/mol of atoms
# Spin magnetization = 0.00 μB/f.u.
# Symmetry = No. 160
# Calculated density = 6.88 g cm⁻³
# E above lowest polymorph = 0.035 eV per formula unit
data_SrAc2Ho
_space_group_name_H-M_alt 'P 1'
_space_group_IT_number 1
_cell_length_a 3.9175
_cell_length_b 3.9175
_cell_length_c 13.0373
_cell_angle_alpha 81.36
_cell_angle_beta 81.36
_cell_angle_gamma 60.00
loop_
_space_group_symop_operation_xyz
'x,y,z'
loop_
_atom_site_label
_atom_site_fract_x
_atom_site_fract_y
_atom_site_fract_z
Sr1 0.4996 0.4996 0.5012
Ac1 0.0764 0.0764 0.7709
Ac2 0.2573 0.2573 0.2281
Ho1 0.6667 0.6667 0.9998



# GGA-PBE VCd3Ge, optimized geometry
# DFT formation energy = 20.6 kcal/mol of atoms
# Spin magnetization = 4.43 μB/f.u.
# Symmetry = No. 221
# Calculated density = 5.60 g cm⁻³
# E above lowest polymorph = 0.000 eV per formula unit
data_VCd3Ge
_space_group_name_H-M_alt 'P 1'
_space_group_IT_number 1
_cell_length_a 5.1506
_cell_length_b 5.1506
_cell_length_c 5.1506
_cell_angle_alpha 90.00
_cell_angle_beta 90.00
_cell_angle_gamma 90.00
loop_
_space_group_symop_operation_xyz
'x,y,z'
loop_
_atom_site_label
_atom_site_fract_x
_atom_site_fract_y
_atom_site_fract_z
Ge1 0.0000 0.0000 0.0000
Cd1 0.0000 0.5000 0.0000
Cd2 0.0000 0.0000 0.5000
Cd3 0.5000 0.0000 0.0000
V1 0.5000 0.5000 0.5000



# GGA-PBE CrReIr2, optimized geometry
# DFT formation energy = -1.7 kcal/mol of atoms
# Spin magnetization = 0.91 μB/f.u.
# Symmetry = No. 12
# Calculated density = 18.41 g cm⁻³
# E above lowest polymorph = 0.735 eV per formula unit
data_CrReIr2
_space_group_name_H-M_alt 'P 1'
_space_group_IT_number 1
_cell_length_a 4.7150
_cell_length_b 4.7150
_cell_length_c 4.6608
_cell_angle_alpha 80.35
_cell_angle_beta 80.35
_cell_angle_gamma 33.40
loop_
_space_group_symop_operation_xyz
'x,y,z'
loop_
_atom_site_label
_atom_site_fract_x
_atom_site_fract_y
_atom_site_fract_z
Cr1 0.2500 0.2500 0.2500
Ir1 0.9982 0.9982 0.0036
Ir2 0.5018 0.5018 0.4964
Re1 0.7500 0.7500 0.7500



# GGA-PBE Pa2ReGeN6, optimized geometry
# Spin magnetization = 0.00 μB/f.u.
# Symmetry = No. 99
# Calculated density = 9.81 g cm⁻³
# Raw formation energy = -0.53 eV/atom
data_Pa2ReGeN6
_space_group_name_H-M_alt 'P 1'
_space_group_IT_number 1
_cell_length_a 4.8083
_cell_length_b 5.3228
_cell_length_c 5.3228
_cell_angle_alpha 90.00
_cell_angle_beta 90.00
_cell_angle_gamma 90.00
loop_
_space_group_symop_operation_xyz
'x,y,z'
loop_
_atom_site_label
_atom_site_fract_x
_atom_site_fract_y
_atom_site_fract_z
Pa1 0.9915 0.5000 0.0000
Pa2 0.9915 0.0000 0.5000
Re1 0.5790 0.0000 0.0000
Ge1 0.5707 0.5000 0.5000
N1 0.7311 0.2517 0.2517
N2 0.7311 0.2517 0.7483
N3 0.1904 0.5000 0.5000
N4 0.1992 0.0000 0.0000
N5 0.7311 0.7483 0.7483
N6 0.7311 0.7483 0.2517



# GGA-PBE Lu2MgTc, optimized geometry
# DFT formation energy = 0.6 kcal/mol of atoms
# Spin magnetization = 0.00 μB/f.u.
# Symmetry = No. 123
# Calculated density = 9.12 g cm⁻³
# E above lowest polymorph = 0.669 eV per formula unit
data_Lu2MgTc
_space_group_name_H-M_alt 'P 1'
_space_group_IT_number 1
_cell_length_a 3.7165
_cell_length_b 4.8088
_cell_length_c 4.8088
_cell_angle_alpha 90.00
_cell_angle_beta 90.00
_cell_angle_gamma 90.00
loop_
_space_group_symop_operation_xyz
'x,y,z'
loop_
_atom_site_label
_atom_site_fract_x
_atom_site_fract_y
_atom_site_fract_z
Mg1 0.5000 0.0000 0.0000
Lu1 0.0000 0.0000 0.5000
Lu2 0.0000 0.5000 0.0000
Tc1 0.5000 0.5000 0.5000



# GGA-PBE DyNCl3, optimized geometry
# Spin magnetization = 2.97 μB/f.u.
# Symmetry = No. 2
# Calculated density = 2.68 g cm⁻³
# Raw formation energy = -0.77 eV/atom
data_DyNCl3
_space_group_name_H-M_alt 'P 1'
_space_group_IT_number 1
_cell_length_a 9.5570
_cell_length_b 5.2935
_cell_length_c 8.6943
_cell_angle_alpha 106.59
_cell_angle_beta 101.37
_cell_angle_gamma 56.35
loop_
_space_group_symop_operation_xyz
'x,y,z'
loop_
_atom_site_label
_atom_site_fract_x
_atom_site_fract_y
_atom_site_fract_z
Dy1 0.9342 0.3984 0.5245
Dy2 0.4339 0.9014 0.5300
N1 0.4474 0.5874 0.9533
N2 0.9207 0.7125 0.1012
Cl1 0.1759 0.0586 0.3147
Cl2 0.1923 0.2412 0.7398
Cl3 0.4341 0.4012 0.5299
Cl4 0.6709 0.5638 0.3151
Cl5 0.9341 0.8986 0.5245
Cl6 0.6972 0.7360 0.7393



# GGA-PBE PaHCl6, optimized geometry
# Spin magnetization = 0.00 μB/f.u.
# Symmetry = No. 2
# Calculated density = 2.68 g cm⁻³
# Total energy = -4.48 eV/atom
data_PaHCl6
_space_group_name_H-M_alt 'P 1'
_space_group_IT_number 1
_cell_length_a 7.2045
_cell_length_b 7.1151
_cell_length_c 10.6204
_cell_angle_alpha 46.34
_cell_angle_beta 44.41
_cell_angle_gamma 61.44
loop_
_space_group_symop_operation_xyz
'x,y,z'
loop_
_atom_site_label
_atom_site_fract_x
_atom_site_fract_y
_atom_site_fract_z
Pa1 0.0000 0.0000 0.0000
H1 0.5000 0.5000 0.5000
Cl1 0.2177 0.4861 0.7040
Cl2 0.8834 0.1154 0.7810
Cl3 0.5632 0.1606 0.2122
Cl4 0.1166 0.8846 0.2190
Cl5 0.7823 0.5139 0.2960
Cl6 0.4368 0.8394 0.7878



# GGA-PBE TmIn2Te3, optimized geometry
# Spin magnetization = 0.00 μB/f.u.
# Symmetry = No. 11
# Calculated density = 6.29 g cm⁻³
# Raw formation energy = -0.58 eV/atom
data_TmIn2Te3
_space_group_name_H-M_alt 'P 1'
_space_group_IT_number 1
_cell_length_a 4.2583
_cell_length_b 8.7347
_cell_length_c 11.3239
_cell_angle_alpha 78.17
_cell_angle_beta 90.00
_cell_angle_gamma 90.00
loop_
_space_group_symop_operation_xyz
'x,y,z'
loop_
_atom_site_label
_atom_site_fract_x
_atom_site_fract_y
_atom_site_fract_z
Tm1 0.2500 0.7245 0.8495
Tm2 0.7500 0.2755 0.1505
In1 0.2500 0.2676 0.5540
In2 0.7500 0.7324 0.4460
In3 0.7500 0.0921 0.9212
In4 0.2500 0.9079 0.0788
Te1 0.7500 0.9548 0.7156
Te2 0.2500 0.0452 0.2844
Te3 0.7500 0.4078 0.3747
Te4 0.2500 0.5922 0.6253
Te5 0.2500 0.3530 0.9446
Te6 0.7500 0.6470 0.0554



# GGA-PBE Dy2TlGa, optimized geometry
# DFT formation energy = -8.1 kcal/mol of atoms
# Spin magnetization = 0.00 μB/f.u.
# Symmetry = No. 166
# Calculated density = 9.18 g cm⁻³
# E above lowest polymorph = 0.426 eV per formula unit
data_Dy2TlGa
_space_group_name_H-M_alt 'P 1'
_space_group_IT_number 1
_cell_length_a 3.7130
_cell_length_b 3.7130
_cell_length_c 9.3288
_cell_angle_alpha 78.52
_cell_angle_beta 78.52
_cell_angle_gamma 60.00
loop_
_space_group_symop_operation_xyz
'x,y,z'
loop_
_atom_site_label
_atom_site_fract_x
_atom_site_fract_y
_atom_site_fract_z
Tl1 0.5000 0.5000 0.5000
Ga1 0.0000 0.0000 0.0000
Dy1 0.7434 0.7434 0.7697
Dy2 0.2566 0.2566 0.2303



# GGA-PBE AcSn2HgPt, optimized geometry
# DFT formation energy = -9.5 kcal/mol of atoms
# Spin magnetization = 0.00 μB/f.u.
# Symmetry = No. 99
# Calculated density = 9.13 g cm⁻³
data_AcSn2HgPt
_space_group_name_H-M_alt 'P 1'
_space_group_IT_number 1
_cell_length_a 5.0307
_cell_length_b 5.0309
_cell_length_c 6.1791
_cell_angle_alpha 90.00
_cell_angle_beta 90.00
_cell_angle_gamma 90.00
loop_
_space_group_symop_operation_xyz
'x,y,z'
loop_
_atom_site_label
_atom_site_fract_x
_atom_site_fract_y
_atom_site_fract_z
Ac1 0.0000 0.0000 0.5108
Sn1 0.0000 0.5000 0.9245
Sn2 0.5000 0.0000 0.9245
Hg1 0.5000 0.5000 0.5864
Pt1 0.0000 0.0000 0.0538